Density functional theory data (PBE-GGA) for a geometry-optimized Li2CaIrF8 structure.

a = 4.7869 Å, b = 4.8154 Å, c = 6.8010 Å
α = 89.53°, β = 89.56°, γ = 87.23°
Site moments in Bohr magnetons follow the coordinates.
Fractional positions:
Li1 0.4963 0.4963 0.7153  0.00
Li2 0.5037 0.5037 0.2847  0.00
Ca1 0.0000 0.0000 0.5000  0.00
Ir1 0.0000 0.0000 0.0000  0.69
F1 0.2017 0.7987 0.2174  0.02
F2 0.7211 0.7212 0.0037  0.09
F3 0.7983 0.2014 0.2173  0.02
F4 0.7983 0.2013 0.7826  0.02
F5 0.2789 0.2788 0.9963  0.09
F6 0.2017 0.7986 0.7827  0.02
F7 0.6844 0.6870 0.5008  0.00
F8 0.3156 0.3130 0.4992  0.00

## Properties
The calculation puts the total energy at -60.32 eV/cell. As for the uncorrected formation energy: -2555 meV per atom. For the total magnetic moment, the calculation gives 1.0 μB/f.u.